1.
A plane-wave DFT calculation with GGA-PBE was carried out for a relaxed structure of MgCo2Sn2. Values from VASP.

Computed properties:
The relative energy among the computed polymorphs comes out at 0.0 kJ per mole of atoms. The calculation puts the energy of formation at -8 kJ/mol of atoms. As for the space group: Pmmn, No. 59.

```
&SYSTEM
  ibrav = 0, nat = 10, ntyp = 3
/
ATOMIC_SPECIES
Co 58.93 Co.upf
Mg 24.30 Mg.upf
Sn 118.71 Sn.upf
CELL_PARAMETERS angstrom
4.360 0.000 0.000
0.000 4.242 -0.057
0.000 0.127 9.318
ATOMIC_POSITIONS crystal
Co 0.250 0.250 0.836
Co 0.250 0.250 0.510
Co 0.750 0.750 0.164
Mg 0.250 0.750 0.328
Sn 0.250 0.750 0.665
Sn 0.250 0.750 0.009
Sn 0.750 0.250 0.991
Sn 0.750 0.250 0.335
Co 0.750 0.750 0.490
Mg 0.750 0.250 0.672
```



2.
A plane-wave DFT calculation with GGA-PBE was carried out for a relaxed structure of BAsSN2. Values from VASP.

Computed properties:
The value obtained for the formation energy without anion corrections is 1.90 eV per atom. The relative energy among the computed polymorphs comes out at 67.9 kJ per mole of atoms. As for the space group: P4/mmm, No. 123.

```
&SYSTEM
  ibrav = 0, nat = 5, ntyp = 4
/
ATOMIC_SPECIES
N 14.01 N.upf
S 32.06 S.upf
B 10.81 B.upf
As 74.92 As.upf
CELL_PARAMETERS angstrom
-2.894 -1.962 -0.150
1.540 -2.092 -2.345
2.268 -3.712 4.800
ATOMIC_POSITIONS crystal
N 0.500 0.000 0.000
S 0.000 0.000 0.500
B 0.500 0.500 0.500
N 0.000 0.500 0.000
As 0.000 0.000 0.000
```



3.
A plane-wave DFT calculation with GGA-PBE was carried out for a relaxed structure of Pa2GaNi3. Values from VASP.

Computed properties:
The relative energy among the computed polymorphs comes out at 0.0 kJ per mole of atoms. The calculation puts the energy of formation at -45 kJ/mol of atoms. As for the space group: P6_3/mmc, No. 194.

```
&SYSTEM
  ibrav = 0, nat = 12, ntyp = 3
/
ATOMIC_SPECIES
Ni 58.69 Ni.upf
Pa 231.04 Pa.upf
Ga 69.72 Ga.upf
CELL_PARAMETERS angstrom
5.276 0.000 0.000
-2.638 4.569 0.000
0.000 0.000 7.912
ATOMIC_POSITIONS crystal
Ni 0.829 0.171 0.750
Pa 0.333 0.667 0.570
Ni 0.829 0.659 0.750
Ni 0.341 0.171 0.750
Ga 0.000 0.000 0.500
Ga 0.000 0.000 0.000
Ni 0.171 0.829 0.250
Pa 0.667 0.333 0.430
Ni 0.171 0.341 0.250
Ni 0.659 0.829 0.250
Pa 0.667 0.333 0.070
Pa 0.333 0.667 0.930
```